[1]
4
Lattice="4.403 -0.866 -0.264 2.221 -1.476 3.619 1.469 -4.245 0.159" Properties=species:S:1:pos:R:3 comment="ZrSi2W GGA-PBE optimized geometry" energy_ev_per_atom=-7.86 space_group="No. 216" pbc="T T T"
Zr 2.023 -1.647 0.879
W 4.047 -3.294 1.757
Si 0.000 0.000 0.000
Si 6.070 -4.940 2.636

[2]
4
Lattice="0.668 -3.070 3.433 -3.350 -0.740 3.144 -2.334 -4.025 0.009" Properties=species:S:1:pos:R:3 comment="Zr2SiW GGA-PBE optimized geometry" energy_ev_per_atom=-8.87 space_group="No. 216" pbc="T T T"
Si -2.508 -3.918 3.293
Zr 0.000 0.000 0.000
Zr -3.762 -5.877 4.939
W -1.254 -1.959 1.646

Which formula does entry 2 have? Zr2SiW